# BaSc4Mo

A relaxed BaSc4Mo crystal (PBE, the Alexandria database).

```
BaSc4Mo
1.0
0.000 4.270 4.270
4.270 0.000 4.270
4.270 4.270 0.000
Ba Sc Mo
1 4 1
Direct
0.000 0.000 0.000
0.379 0.379 0.379
0.379 0.379 0.862
0.379 0.862 0.379
0.862 0.379 0.379
0.750 0.750 0.750
```

## Properties
Mass density ... 4406 kg/m³
ΔH_f (0 K) ... 17.9 kcal/mol of atoms
Calculated volume ... 155.7 Å³/f.u.

---

# PmNd2Er6

A relaxed PmNd2Er6 crystal (PBE, the Alexandria database).

```
PmNd2Er6
1.0
8.469 -4.893 0.000
8.469 4.893 0.000
-0.008 0.000 3.462
Pm Nd Er
1 2 6
Direct
0.000 0.000 0.000
0.333 0.333 0.000
0.667 0.667 0.000
0.000 0.333 0.500
0.000 0.667 0.500
0.333 0.000 0.500
0.333 0.667 0.500
0.667 0.000 0.500
0.667 0.333 0.500
```

## Properties
Mass density ... 8317 kg/m³
Energy relative to the lowest polymorph listed for this composition ... 53 meV per atom
ΔH_f (0 K) ... 1.8 kcal/mol of atoms
Calculated volume ... 286.9 Å³/f.u.

---

# Pr3Nd3Ni4

A relaxed Pr3Nd3Ni4 crystal (PBE, the Alexandria database).

```
Pr3Nd3Ni4
1.0
3.932 0.000 0.000
0.000 5.552 5.564
0.000 -5.552 5.564
Pr Nd Ni
3 3 4
Direct
0.000 0.000 0.000
0.500 0.336 0.836
0.500 0.836 0.336
0.000 0.171 0.501
0.000 0.501 0.171
0.000 0.670 0.670
0.500 0.220 0.220
0.500 0.452 0.452
0.500 0.717 0.951
0.500 0.951 0.717
```

## Properties
Mass density ... 7452 kg/m³
ΔH_f (0 K) ... -4.6 kcal/mol of atoms
Calculated volume ... 242.9 Å³/f.u.

---

# CsTlIrO6

A relaxed CsTlIrO6 crystal (PBE, the Alexandria database).

```
CsTlIrO6
1.0
5.776 0.000 0.000
-2.888 5.002 0.000
0.000 0.000 6.347
Cs Tl Ir O
1 1 1 6
Direct
0.000 0.000 0.000
0.333 0.667 0.500
0.667 0.333 0.500
0.429 0.050 0.677
0.429 0.379 0.323
0.621 0.050 0.323
0.621 0.571 0.677
0.950 0.379 0.677
0.950 0.571 0.323
```

## Properties
Raw formation energy ... -0.67 eV/atom
Mass density ... 5663 kg/m³
Calculated volume ... 183.4 Å³/f.u.

---

# PrMgSi2Pt2

A relaxed PrMgSi2Pt2 crystal (PBE, the Alexandria database).

```
PrMgSi2Pt2
1.0
4.270 0.000 0.000
-2.135 3.698 0.000
0.000 0.000 7.071
Pr Mg Si Pt
1 1 2 2
Direct
0.000 0.000 0.000
0.000 0.000 0.500
0.333 0.667 0.705
0.667 0.333 0.295
0.333 0.667 0.311
0.667 0.333 0.689
```

## Properties
Raw formation energy ... -0.95 eV/atom
Mass density ... 9097 kg/m³
Calculated volume ... 111.6 Å³/f.u.

---

# BaCeH6Pt2

A relaxed BaCeH6Pt2 crystal (PBE, the Alexandria database).

```
BaCeH6Pt2
1.0
4.928 -4.719 0.000
4.928 4.719 0.000
-4.604 0.000 6.091
Ba Ce H Pt
2 2 12 4
Direct
0.115 0.885 0.750
0.885 0.115 0.250
0.381 0.619 0.250
0.619 0.381 0.750
0.084 0.774 0.326
0.196 0.277 0.178
0.226 0.916 0.174
0.277 0.196 0.678
0.361 0.604 0.898
0.396 0.639 0.602
0.604 0.361 0.398
0.639 0.396 0.102
0.723 0.804 0.322
0.774 0.084 0.826
0.804 0.723 0.822
0.916 0.226 0.674
0.148 0.403 0.789
0.403 0.148 0.289
0.597 0.852 0.711
0.852 0.597 0.211
```

## Properties
Final energy ... -0.16462 hartree per atom
Mass density ... 7898 kg/m³
Calculated volume ... 141.6 Å³/f.u.